# CrInGaO4

CrInGaO4 after structural relaxation (PBE+U, the Alexandria database).

Cell and atoms, written as CIF:
```
data_CrInGaO4
_symmetry_space_group_name_H-M 'I m m a'
_symmetry_Int_Tables_number 74
_symmetry_space_group_name_Hall '-I 2b 2'
_cell_length_a 6.180
_cell_length_b 6.471
_cell_length_c 8.568
_cell_angle_alpha 90.00
_cell_angle_beta 90.00
_cell_angle_gamma 90.00
loop_
_atom_site_label
_atom_site_type_symbol
_atom_site_fract_x
_atom_site_fract_y
_atom_site_fract_z
Cr1 Cr 0.250 0.250 0.250
In1 In 0.000 0.000 0.000
Ga1 Ga 0.000 0.250 0.628
O1 O 0.000 0.005 0.747
O2 O 0.248 0.250 0.008
```

Output
The density of states at the Fermi level comes out at 4.48 states/eV per cell. For the total DFT energy (no corrections), the calculation gives -177.9 eV/cell. Its total magnetization is 15.88 μB/cell.